Compound: La12Nd5Sm2
Source: Alexandria
Functional: GGA-PBE
Structure: relaxed

Cell: 6.4947 9.7618 11.7722 Å, 68.37 82.73 85.89°
Closest atoms and distances in Å follow each position.
Fractional positions:
La1 0.0257 0.4475 0.3617  1 Sm 3.50, 5 La 3.53-3.75, 4 Nd 3.62-3.81
La2 0.2365 0.1648 0.6082  1 Sm 3.38, 5 La 3.45-3.54, 1 Nd 3.53
La3 0.2409 0.5582 0.0432  7 La 3.58-3.78, 4 Nd 3.61-3.71, 1 Sm 3.64
La4 0.2430 0.9099 0.4684  2 Nd 3.40-3.67, 5 La 3.45-3.75, 1 Sm 3.57
La5 0.2955 0.3287 0.8640  7 La 3.56-3.96, 2 Sm 3.58-3.88, 2 Nd 3.72-3.75
La6 0.3715 0.9466 0.9015  2 Sm 3.44-3.60, 5 La 3.50-3.84, 2 Nd 3.60-3.64
La7 0.6285 0.0534 0.0985  2 Sm 3.44-3.60, 5 La 3.50-3.84, 2 Nd 3.60-3.64
La8 0.7045 0.6713 0.1360  7 La 3.56-3.96, 2 Sm 3.58-3.88, 2 Nd 3.72-3.75
La9 0.7570 0.0901 0.5316  2 Nd 3.40-3.67, 5 La 3.45-3.75, 1 Sm 3.57
La10 0.7591 0.4418 0.9568  7 La 3.58-3.78, 4 Nd 3.61-3.71, 1 Sm 3.64
La11 0.7635 0.8352 0.3918  1 Sm 3.38, 5 La 3.45-3.54, 1 Nd 3.53
La12 0.9743 0.5525 0.6383  1 Sm 3.50, 5 La 3.53-3.75, 4 Nd 3.62-3.81
Nd1 0.0558 0.1872 0.1914  2 Nd 3.59-3.70, 8 La 3.60-4.01, 1 Sm 3.68
Nd2 0.4850 0.7124 0.7209  6 La 3.40-3.72, 2 Nd 3.59-3.70
Nd3 0.5000 0.5000 0.5000  6 La 3.53-3.81, 2 Nd 3.87
Nd4 0.5150 0.2876 0.2791  6 La 3.40-3.72, 2 Nd 3.59-3.70
Nd5 0.9442 0.8128 0.8086  2 Nd 3.59-3.70, 8 La 3.60-4.01, 1 Sm 3.68
Sm1 0.1992 0.8083 0.2104  7 La 3.38-3.64, 1 Nd 3.68
Sm2 0.8008 0.1917 0.7896  7 La 3.38-3.64, 1 Nd 3.68

Values from the calculation:
ΔE to the lowest computed polymorph = 0 meV per atom
calculated total energy = -4.79 eV/atom